(1)
Computed, not measured: a geometry-optimized TiReAg2 structure at the GGA-PBEsol level of DFT.

Output
For the spin magnetization, the calculation gives 0.001 μB/f.u. The density comes out at 11.8 g cm⁻³. As for the space group: Fm-3m (225). Its formation energy is 0.630 eV/atom. The density of states at the Fermi level is 4.7 states/eV/cell.

a = 4.474 Å, b = 4.474 Å, c = 4.474 Å
α = 60.00°, β = 60.00°, γ = 60.00°
Atoms (fractional coordinates):
1 Re 0.500 0.500 0.500
2 Ti 0.000 0.000 0.000
3 Ag 0.750 0.750 0.750
4 Ag 0.250 0.250 0.250

***

(2)
Computed, not measured: a geometry-optimized HfInO2 structure at the GGA-PBEsol level of DFT.

Output
For the spin magnetization, the calculation gives 0.000 μB/f.u. The density comes out at 6.6 g cm⁻³. The calculation puts the uncorrected formation energy at -2116 meV/atom. As for the space group: I-42d (122). The density of states at the Fermi level is 3.1 states/eV/cell.

a = 5.828 Å, b = 6.361 Å, c = 5.828 Å
α = 62.74°, β = 90.00°, γ = 117.26°
Atoms (fractional coordinates):
1 Hf 0.750 0.500 0.750
2 O 0.375 0.250 0.949
3 In 0.250 0.500 0.250
4 O 0.875 0.250 0.801
5 O 0.801 0.750 0.375
6 In 0.500 0.000 0.500
7 Hf 0.000 0.000 0.000
8 O 0.949 0.750 0.875

***

(3)
Computed, not measured: a geometry-optimized Cd2POs structure at the GGA-PBEsol level of DFT.

Output
For the spin magnetization, the calculation gives 0.000 μB/f.u. The density comes out at 10.2 g cm⁻³. The energy above the lowest structure with this stoichiometry is 0.000 eV/atom. As for the space group: Amm2 (38). Its formation energy is 0.200 eV/atom. The density of states at the Fermi level is 2.0 states/eV/cell.

a = 3.633 Å, b = 4.065 Å, c = 5.322 Å
α = 112.46°, β = 90.00°, γ = 90.00°
Atoms (fractional coordinates):
1 P 0.500 0.559 0.117
2 Cd 0.500 0.282 0.564
3 Cd 0.000 0.972 0.944
4 Os 0.000 0.689 0.377

***

(4)
Computed, not measured: a geometry-optimized Pm2MgSe4 structure at the GGA-PBEsol level of DFT.

Output
For the spin magnetization, the calculation gives 0.000 μB/f.u. The density comes out at 6.4 g cm⁻³. The energy above the lowest structure with this stoichiometry is 0.000 eV/atom. The calculation puts the uncorrected formation energy at -1671 meV/atom. As for the space group: I-42d (122).

a = 7.513 Å, b = 7.513 Å, c = 7.513 Å
α = 106.79°, β = 110.83°, γ = 110.83°
Atoms (fractional coordinates):
1 Se 0.621 0.638 0.876
2 Mg 0.000 0.000 0.000
3 Se 0.237 0.982 0.362
4 Se 0.763 0.124 0.745
5 Mg 0.500 0.750 0.250
6 Pm 0.626 0.375 0.501
7 Se 0.737 0.112 0.232
8 Se 0.263 0.495 0.374
9 Pm 0.874 0.499 0.125
10 Se 0.121 0.626 0.888
11 Pm 0.126 0.251 0.625
12 Se 0.379 0.255 0.018
13 Pm 0.374 0.875 0.749
14 Se 0.879 0.768 0.505

***

(5)
Computed, not measured: a geometry-optimized CuOsC3 structure at the GGA-PBEsol level of DFT.

Output
For the spin magnetization, the calculation gives 0.000 μB/f.u. The density comes out at 7.8 g cm⁻³. As for the space group: Pm-3m (221). Its formation energy is 2.118 eV/atom. The density of states at the Fermi level is 3.2 states/eV/cell.

a = 3.944 Å, b = 3.944 Å, c = 3.944 Å
α = 90.00°, β = 90.00°, γ = 90.00°
Atoms (fractional coordinates):
1 Cu 0.500 0.500 0.500
2 C 0.000 0.500 0.000
3 C 0.000 0.000 0.500
4 Os 0.000 0.000 0.000
5 C 0.500 0.000 0.000

***

(6)
Computed, not measured: a geometry-optimized Ti2CoOs structure at the GGA-PBEsol level of DFT.

Output
For the spin magnetization, the calculation gives 0.869 μB/f.u. The density comes out at 10.5 g cm⁻³. As for the space group: Fm-3m (225). Its formation energy is -0.550 eV/atom. The density of states at the Fermi level is 2.5 states/eV/cell.

a = 4.257 Å, b = 4.257 Å, c = 4.257 Å
α = 60.00°, β = 60.00°, γ = 60.00°
Atoms (fractional coordinates):
1 Os 0.500 0.500 0.500
2 Co 0.000 0.000 0.000
3 Ti 0.250 0.250 0.250
4 Ti 0.750 0.750 0.750

***

Question: The highest spin magnetization belongs to which entry?
Answer: Ti2CoOs

***

Question: The highest spin magnetization belongs to which entry?
Answer: Ti2CoOs